# 1
PrGdNiSn: optimized geometry, PBE.

Geometry as POSCAR:
```
PrGdNiSn
1.0
5.232 0.000 0.000
2.616 4.531 0.000
2.616 1.510 4.272
Pr Ni Gd Sn
1 1 1 1
direct
0.500 0.500 0.500
0.750 0.750 0.750
0.000 0.000 0.000
0.250 0.250 0.250
```

final energy: -30.2 eV per cell
magnetization: 7.32 μB per formula unit
crystal system: cubic


# 2
GdScNiPt: optimized geometry, PBE.

Geometry as POSCAR:
```
GdScNiPt
1.0
-3.196 2.178 2.792
-1.540 -2.135 3.978
1.312 1.677 4.268
Sc Ni Gd Pt
1 1 1 1
direct
0.500 0.500 0.500
0.250 0.250 0.250
0.000 0.000 0.000
0.750 0.750 0.750
```

final energy: -35.3 eV per cell
magnetization: 7.28 μB per formula unit
crystal system: cubic


# 3
GdThNiPt: optimized geometry, PBE.

Geometry as POSCAR:
```
GdThNiPt
1.0
-3.081 -2.072 3.347
-2.435 -4.219 -1.121
1.262 -4.286 2.242
Ni Gd Pt Th
1 1 1 1
direct
0.250 0.250 0.250
0.500 0.500 0.500
0.750 0.750 0.750
0.000 0.000 0.000
```

final energy: -36.1 eV per cell
magnetization: 7.22 μB per formula unit
crystal system: cubic


# 4
GdTlNiPt: optimized geometry, PBE.

Geometry as POSCAR:
```
GdTlNiPt
1.0
-1.676 -3.813 -2.380
2.379 -4.163 0.159
-1.833 -3.719 2.414
Ni Tl Gd Pt
1 1 1 1
direct
0.250 0.250 0.250
0.500 0.500 0.500
0.000 0.000 0.000
0.750 0.750 0.750
```

final energy: -29.9 eV per cell
magnetization: 7.22 μB per formula unit
crystal system: cubic


# 5
GdTmNiPt: optimized geometry, PBE.

Geometry as POSCAR:
```
GdTmNiPt
1.0
4.867 0.000 0.000
2.434 4.215 0.000
2.434 1.405 3.974
Gd Ni Tm Pt
1 1 1 1
direct
0.000 0.000 0.000
0.250 0.250 0.250
0.500 0.500 0.500
0.750 0.750 0.750
```

final energy: -33.6 eV per cell
magnetization: 7.22 μB per formula unit
crystal system: cubic


# 6
GdZnNiPt: optimized geometry, PBE.

Geometry as POSCAR:
```
GdZnNiPt
1.0
-2.034 1.880 3.708
-3.163 -2.405 2.372
0.992 -1.582 4.234
Ni Zn Gd Pt
1 1 1 1
direct
0.250 0.250 0.250
0.500 0.500 0.500
0.000 0.000 0.000
0.750 0.750 0.750
```

final energy: -29.3 eV per cell
magnetization: 7.04 μB per formula unit
crystal system: cubic